# 1
Here is a relaxed Al2IrOs crystal from Alexandria via LeMat-Bulk. Energies are from PBEsol.

The space group is Fm-3m (No. 225) and the conventional cell measures 5.975, 5.975 and 5.975 Å, with angles of 90.00, 90.00 and 90.00 degrees. Symmetry generates all atoms from Al at (0.250, 0.250, 0.250), Ir at (0.000, 0.000, 0.000) and Os at (0.000, 0.000, 0.500).

The calculation puts the electronic total energy at -8.25 eV per atom. The calculation puts the polymorph energy (0 for the lowest one) at 0.0000 eV per atom. Its density of states at the Fermi level is 9.589 states/eV/cell. The theoretical density comes out at 13.6 g cm⁻³. The formation energy is -0.70 eV per atom.

***

# 2
Here is a relaxed SiSO2 crystal from Alexandria via LeMat-Bulk. Energies are from PBEsol.

The space group is R-3m (No. 166, hexagonal axes) and the conventional cell measures 2.6430, 2.6430 and 28.1014 Å, with angles of 90.00, 90.00 and 120.00 degrees. Symmetry generates all atoms from Si at (0.0000, 0.0000, 0.0000), S at (0.0000, 0.0000, 0.5000) and O at (0.0000, 0.0000, 0.3662).

The calculation puts the electronic total energy at -6.83 eV per atom. The formation energy (no corrections) comes out at -1.67 eV per atom. Its density of states at the Fermi level is 3.202 states/eV/cell. The theoretical density comes out at 2.7 g cm⁻³.

***

# 3
Here is a relaxed TlMoPb crystal from Alexandria via LeMat-Bulk. Energies are from PBEsol.

The space group is I4mm (No. 107) and the conventional cell measures 3.578, 3.578 and 9.824 Å, with angles of 90.00, 90.00 and 90.00 degrees. Symmetry generates all atoms from Tl at (0.000, 0.000, 0.000), Mo at (0.000, 0.000, 0.340) and Pb at (0.000, 0.000, 0.692).

The calculation puts the electronic total energy at -5.41 eV per atom. Its density of states at the Fermi level is 4.519 states/eV/cell. The theoretical density comes out at 13.4 g cm⁻³. The formation energy is 0.72 eV per atom.